(1)
LaCr2Sb, relaxed, DFT GGA-PBE; M_tot = 1.56 μB per atom; crystal system = tetragonal; raw formation energy = 0.262 eV/atom
1.0
4.580 0.000 0.000
0.000 4.581 0.000
0.000 0.000 4.069
Sb Cr La
1 2 1
direct
0.000 0.500 0.500 Sb
0.500 0.500 0.000 Cr
0.000 0.000 0.000 Cr
0.500 0.000 0.500 La

(2)
La2CrSb2, relaxed, DFT GGA-PBE; M_tot = 0.02 μB per atom; crystal system = tetragonal; raw formation energy = -0.377 eV/atom
1.0
-2.074 0.431 6.925
-5.943 -3.841 -1.540
2.495 -4.267 1.013
La Cr Sb
4 2 4
direct
0.328 0.172 0.500 La
0.828 0.328 0.500 La
0.672 0.828 0.500 La
0.172 0.672 0.500 La
0.000 0.000 0.000 Cr
0.500 0.500 0.000 Cr
0.352 0.852 0.000 Sb
0.148 0.352 0.000 Sb
0.648 0.148 0.000 Sb
0.852 0.648 0.000 Sb

(3)
LaCrSb2, relaxed, DFT GGA-PBE; M_tot = 0.93 μB per atom; crystal system = monoclinic; raw formation energy = -0.302 eV/atom
1.0
-2.299 -3.296 -1.312
2.819 -1.364 -1.514
2.290 -3.876 5.726
Cr Sb La
1 2 1
direct
0.500 0.250 0.250 Cr
0.000 0.114 0.025 Sb
0.000 0.386 0.475 Sb
0.500 0.750 0.750 La

(4)
LaCr2Sb, relaxed, DFT GGA-PBE; M_tot = 1.70 μB per atom; crystal system = tetragonal; raw formation energy = 0.346 eV/atom
1.0
-2.474 -2.470 1.076
1.863 -2.624 -1.740
3.579 -1.156 5.575
Sb La Cr
1 1 2
direct
0.500 0.500 0.750 Sb
0.500 0.500 0.250 La
0.000 0.000 0.541 Cr
0.000 0.000 0.959 Cr

(5)
LaCrSb2, relaxed, DFT GGA-PBE; M_tot = 1.03 μB per atom; crystal system = tetragonal; raw formation energy = -0.285 eV/atom
1.0
6.130 0.114 0.000
2.771 5.469 0.000
-4.450 -2.792 3.160
Sb La Cr
2 1 1
direct
0.250 0.750 0.500 Sb
0.000 0.000 0.000 Sb
0.750 0.250 0.500 La
0.500 0.500 0.000 Cr

(6)
LaCr3Sb, relaxed, DFT GGA-PBE; M_tot = 2.44 μB per atom; crystal system = cubic; raw formation energy = 0.908 eV/atom
1.0
5.153 0.000 0.000
0.000 5.153 0.000
0.000 0.000 5.153
Cr Sb La
3 1 1
direct
0.500 0.000 0.000 Cr
0.000 0.500 0.000 Cr
0.000 0.000 0.500 Cr
0.000 0.000 0.000 Sb
0.500 0.500 0.500 La

(7)
LaCrSb2, relaxed, DFT GGA-PBE; M_tot = 0.99 μB per atom; crystal system = tetragonal; raw formation energy = -0.187 eV/atom
1.0
3.791 0.000 0.000
0.000 3.792 0.000
0.000 0.000 7.105
Sb Cr La
2 1 1
direct
0.000 0.000 0.459 Sb
0.000 0.000 0.041 Sb
0.500 0.500 0.250 Cr
0.500 0.500 0.750 La

(8)
LaCrSb2, relaxed, DFT GGA-PBE; M_tot = 0.19 μB per atom; crystal system = trigonal; raw formation energy = 0.302 eV/atom
1.0
-1.714 7.207 -6.211
-0.575 4.682 -8.438
-3.980 4.749 -7.420
La Cr Sb
1 1 2
direct
0.763 0.763 0.763 La
0.507 0.507 0.507 Cr
0.230 0.230 0.230 Sb
0.000 0.000 0.000 Sb

(9)
LaCr2Sb, relaxed, DFT GGA-PBE; M_tot = 1.95 μB per atom; crystal system = monoclinic; raw formation energy = 0.469 eV/atom
1.0
5.610 0.041 0.115
-2.787 5.381 -0.240
0.037 1.116 3.110
Cr La Sb
2 1 1
direct
0.000 0.000 0.000 Cr
0.500 0.000 0.500 Cr
0.000 0.500 0.500 La
0.500 0.500 0.000 Sb

(10)
La2CrSb, relaxed, DFT GGA-PBE; M_tot = 1.02 μB per atom; crystal system = orthorhombic; raw formation energy = -0.283 eV/atom
1.0
-0.675 -4.461 -4.452
2.872 -2.351 -5.138
2.608 -4.074 0.957
La Cr Sb
2 1 1
direct
0.984 0.984 0.016 La
0.758 0.758 0.742 La
0.221 0.221 0.279 Cr
0.537 0.537 0.463 Sb

(11)
LaCr2Sb, relaxed, DFT GGA-PBE; M_tot = 0.08 μB per atom; crystal system = cubic; raw formation energy = 0.235 eV/atom
1.0
-4.107 1.514 2.650
-3.067 -3.473 2.172
-0.090 -0.507 5.091
Cr Sb La
2 1 1
direct
0.750 0.750 0.750 Cr
0.000 0.000 0.000 Cr
0.250 0.250 0.250 Sb
0.500 0.500 0.500 La

(12)
LaCrSb2, relaxed, DFT GGA-PBE; M_tot = 0.82 μB per atom; crystal system = orthorhombic; raw formation energy = -0.356 eV/atom
1.0
-0.276 5.463 0.041
-5.211 -0.114 -1.659
2.427 -1.874 4.530
Sb La Cr
2 1 1
direct
0.541 0.541 0.000 Sb
0.959 0.959 0.000 Sb
0.250 0.750 0.500 La
0.750 0.250 0.500 Cr

(13)
LaCrSb2, relaxed, DFT GGA-PBE; M_tot = 1.14 μB per atom; crystal system = orthorhombic; raw formation energy = -0.307 eV/atom
1.0
8.229 -0.095 -0.208
-2.950 3.963 0.295
2.330 1.486 3.267
La Sb Cr
1 2 1
direct
0.500 0.500 0.000 La
0.500 0.000 0.500 Sb
0.000 0.000 0.000 Sb
0.000 0.500 0.500 Cr

(14)
LaCr2Sb, relaxed, DFT GGA-PBE; M_tot = 0.16 μB per atom; crystal system = trigonal; raw formation energy = 0.451 eV/atom
1.0
9.210 -0.028 -0.017
8.623 3.237 -0.017
8.623 1.551 2.841
Cr Sb La
2 1 1
direct
0.012 0.012 0.012 Cr
0.733 0.733 0.733 Cr
0.264 0.264 0.264 Sb
0.491 0.491 0.491 La

(15)
LaCrSb2, relaxed, DFT GGA-PBE; M_tot = 0.72 μB per atom; crystal system = trigonal; raw formation energy = -0.509 eV/atom
1.0
-1.719 -1.310 -3.778
1.680 -3.432 -2.084
-4.083 -5.526 1.268
La Cr Sb
1 1 2
direct
0.750 0.750 0.750 La
0.250 0.250 0.250 Cr
0.519 0.519 0.442 Sb
0.981 0.981 0.058 Sb

(16)
LaCrSb, relaxed, DFT GGA-PBE; M_tot = 1.74 μB per atom; crystal system = cubic; raw formation energy = 0.254 eV/atom
1.0
-1.310 3.256 3.839
1.808 -0.792 4.813
3.557 3.223 2.005
La Cr Sb
1 1 1
direct
0.750 0.750 0.750 La
0.500 0.500 0.500 Cr
0.000 0.000 0.000 Sb

(17)
LaCr2Sb, relaxed, DFT GGA-PBE; M_tot = 0.00 μB per atom; crystal system = tetragonal; raw formation energy = 0.507 eV/atom
1.0
-0.746 1.894 -4.032
3.247 -2.567 -1.806
-5.044 -6.938 -4.855
Cr La Sb
4 2 2
direct
0.428 0.625 0.250 Cr
0.375 0.678 0.750 Cr
0.875 0.572 0.750 Cr
0.322 0.125 0.250 Cr
0.000 0.000 0.000 La
0.750 0.250 0.500 La
0.250 0.750 0.500 Sb
0.500 0.500 0.000 Sb

(18)
La2CrSb, relaxed, DFT GGA-PBE; M_tot = 0.61 μB per atom; crystal system = cubic; raw formation energy = 0.035 eV/atom
1.0
5.296 0.000 0.000
2.648 4.587 0.000
2.648 1.529 4.325
La Cr Sb
2 1 1
direct
0.000 0.000 0.000 La
0.250 0.250 0.250 La
0.500 0.500 0.500 Cr
0.750 0.750 0.750 Sb

(19)
LaCr2Sb, relaxed, DFT GGA-PBE; M_tot = 0.05 μB per atom; crystal system = trigonal; raw formation energy = 0.122 eV/atom
1.0
4.455 0.000 -0.023
2.228 3.858 -0.023
2.250 1.299 5.227
Cr Sb La
2 1 1
direct
0.928 0.928 0.217 Cr
0.572 0.572 0.283 Cr
0.250 0.250 0.250 Sb
0.750 0.750 0.750 La

(20)
LaCrSb4, relaxed, DFT GGA-PBE; M_tot = 0.83 μB per atom; crystal system = cubic; raw formation energy = 0.127 eV/atom
1.0
1.220 -1.795 5.858
-4.688 -1.488 3.851
-0.884 -5.948 1.692
Sb La Cr
4 1 1
direct
0.871 0.376 0.376 Sb
0.376 0.376 0.871 Sb
0.376 0.376 0.376 Sb
0.376 0.871 0.376 Sb
0.000 0.000 0.000 La
0.750 0.750 0.750 Cr

(21)
LaTiCr2Sb, relaxed, DFT GGA-PBE; M_tot = 0.00 μB per atom; crystal system = tetragonal; raw formation energy = 0.985 eV/atom
1.0
-2.977 1.571 -2.929
-3.904 0.177 4.062
1.224 4.174 0.994
Cr La Sb Ti
2 1 1 1
direct
0.000 0.000 0.500 Cr
0.500 0.000 0.000 Cr
0.000 0.500 0.000 La
0.500 0.500 0.500 Sb
0.000 0.000 0.000 Ti

(22)
La2ZnCrSb, relaxed, DFT GGA-PBE; M_tot = 0.00 μB per atom; crystal system = tetragonal; raw formation energy = -0.031 eV/atom
1.0
-3.853 1.542 3.285
-3.318 -0.413 -3.698
-0.872 -5.045 1.346
Sb Cr La Zn
1 1 2 1
direct
0.000 0.500 0.000 Sb
0.000 0.000 0.000 Cr
0.500 0.000 0.000 La
0.000 0.000 0.500 La
0.500 0.500 0.500 Zn

(23)
La2Sc2Cr, relaxed, DFT GGA-PBE; M_tot = 0.68 μB per atom; ΔE_f = 0.35 eV per atom; crystal system = tetragonal
1.0
-1.057 6.690 2.406
-6.186 -2.064 3.022
2.645 -1.228 4.576
Sc La Cr
4 4 2
direct
0.650 0.150 0.000 Sc
0.850 0.650 0.000 Sc
0.150 0.350 0.000 Sc
0.350 0.850 0.000 Sc
0.332 0.168 0.500 La
0.668 0.832 0.500 La
0.168 0.668 0.500 La
0.832 0.332 0.500 La
0.000 0.000 0.000 Cr
0.500 0.500 0.000 Cr

(24)
LaScCr, relaxed, DFT GGA-PBE; excess energy over the best structure of this formula in the dataset = 0.000 eV/atom; M_tot = 0.71 μB per atom; ΔE_f = 0.35 eV per atom; crystal system = tetragonal
1.0
-6.334 0.326 2.410
-5.955 -2.915 1.437
0.276 -0.946 3.260
Cr La Sc
1 1 1
direct
0.011 0.011 0.989 Cr
0.354 0.355 0.646 La
0.634 0.634 0.366 Sc

(25)
LaScCr, relaxed, DFT GGA-PBE; excess energy over the best structure of this formula in the dataset = 0.073 eV/atom; M_tot = 1.01 μB per atom; ΔE_f = 0.42 eV per atom; crystal system = trigonal
1.0
5.049 0.000 0.000
-2.524 4.372 0.000
0.000 0.000 3.392
La Cr Sc
1 1 1
direct
0.667 0.333 0.317 La
0.000 0.000 0.909 Cr
0.333 0.667 0.774 Sc

(26)
LaScCr, relaxed, DFT GGA-PBE; excess energy over the best structure of this formula in the dataset = 0.250 eV/atom; M_tot = 0.92 μB per atom; ΔE_f = 0.60 eV per atom; crystal system = cubic
1.0
-4.027 -0.251 2.787
-0.470 -3.585 3.312
0.262 1.034 4.786
La Cr Sc
1 1 1
direct
0.000 0.000 0.000 La
0.750 0.750 0.750 Cr
0.500 0.500 0.500 Sc

(27)
La4ScCr, relaxed, DFT GGA-PBE; M_tot = 0.66 μB per atom; ΔE_f = 0.63 eV per atom; crystal system = cubic
1.0
3.419 -5.437 -1.166
0.065 -4.821 4.400
-3.106 -5.603 -1.251
Sc Cr La
1 1 4
direct
0.750 0.750 0.750 Sc
0.000 0.000 0.000 Cr
0.877 0.374 0.374 La
0.374 0.374 0.877 La
0.374 0.877 0.374 La
0.374 0.374 0.374 La

(28)
LaScCr, relaxed, DFT GGA-PBE; excess energy over the best structure of this formula in the dataset = 0.730 eV/atom; M_tot = 1.34 μB per atom; ΔE_f = 1.08 eV per atom; crystal system = cubic
1.0
-2.388 -1.172 4.097
-3.795 -3.070 -0.178
0.407 -4.497 1.863
Sc La Cr
1 1 1
direct
0.000 0.000 0.000 Sc
0.750 0.750 0.750 La
0.500 0.500 0.500 Cr

(29)
LaScCrTc2, relaxed, DFT GGA-PBE; M_tot = 0.14 μB per atom; ΔE_f = 1.91 eV per atom; crystal system = tetragonal
1.0
-3.772 -2.642 0.124
1.486 -1.902 4.653
-2.300 3.384 2.118
La Tc Sc Cr
1 2 1 1
direct
0.000 0.500 0.000 La
0.500 0.000 0.000 Tc
0.000 0.000 0.500 Tc
0.000 0.000 0.000 Sc
0.500 0.500 0.500 Cr

(30)
La2ScZnCr, relaxed, DFT GGA-PBE; M_tot = 0.63 μB per atom; ΔE_f = 0.84 eV per atom; crystal system = tetragonal
1.0
5.737 0.000 0.000
0.000 4.649 0.000
0.000 0.000 5.737
Zn Cr Sc La
1 1 1 2
direct
0.500 0.500 0.500 Zn
0.000 0.500 0.000 Cr
0.000 0.000 0.000 Sc
0.000 0.000 0.500 La
0.500 0.000 0.000 La